(A)
PbI2NCl (PBE-GGA, optimized geometry); D(E_F) = 4.133 states/eV per cell
1.0
6.7577 0.0000 0.0000
0.0000 6.7577 0.0000
0.0000 0.0000 3.4626
Pb I N Cl
1 2 1 1
direct
0.0000 0.0000 0.0000
0.0000 0.5000 0.5000
0.5000 0.0000 0.5000
0.5000 0.5000 0.0000
0.5000 0.5000 0.5000

***

(B)
PbI2NCl (PBE-GGA, optimized geometry); D(E_F) = 6.078 states/eV per cell
1.0
6.2105 0.0000 0.0000
0.0000 6.2105 0.0000
0.0000 0.0000 4.7245
Pb I N Cl
1 2 1 1
direct
0.0000 0.0000 0.0000
0.0000 0.5000 0.0000
0.5000 0.0000 0.0000
0.0000 0.0000 0.5000
0.5000 0.5000 0.5000

***

(B) has the most favorable energy; the next structure is 39 meV/atom above.

***

(A)
PdIN2Cl (PBE-GGA, optimized geometry); D(E_F) = 4.583 states/eV per cell
1.0
3.9301 0.0000 0.0000
0.0000 3.9301 0.0000
0.0000 0.0000 8.0981
Pd I N Cl
1 1 2 1
direct
0.0000 0.0000 0.0000
0.5000 0.5000 0.0000
0.0000 0.5000 0.5000
0.5000 0.0000 0.5000
0.5000 0.5000 0.5000

***

(B)
PdIN2Cl (PBE-GGA, optimized geometry); D(E_F) = 2.501 states/eV per cell
1.0
3.9577 0.0000 0.0000
0.0000 3.9577 0.0000
0.0000 0.0000 8.5205
Pd I N Cl
1 1 2 1
direct
0.0000 0.0000 0.0000
0.0000 0.0000 0.5000
0.0000 0.5000 0.0000
0.5000 0.0000 0.0000
0.5000 0.5000 0.5000

***

(B) has the most favorable energy; the next structure is 620 meV/atom above.